A relaxed Cu2HgAu crystal, computed with PBE-GGA.

Cell lengths 3.022, 3.597, 5.887 Å; angles 90.00, 90.00, 90.00 degrees
Space group Pmmm (No. 47)
Asymmetric unit:
Cu: 0.000 0.000 0.233 [2 per cell]
Hg: 0.500 0.500 0.500 [1 per cell]
Au: 0.500 0.500 0.000 [1 per cell]

Computed properties:
DFT formation energy: 0.30 eV per formula unit
DOS at the Fermi energy: 0.322 states/eV/atom

=====

A relaxed Cu5HgAu6 crystal, computed with PBE-GGA.

Cell lengths 4.180, 7.393, 12.376 Å; angles 90.00, 90.00, 90.00 degrees
Space group Immm (No. 71)
Asymmetric unit:
Cu: 0.000 0.000 0.000 [2 per cell]
Cu: 0.000 0.000 0.338 [4 per cell]
Cu: 0.000 0.500 0.324 [4 per cell]
Hg: 0.000 0.500 0.000 [2 per cell]
Au: 0.000 0.233 0.171 [8 per cell]
Au: 0.000 0.278 0.500 [4 per cell]

Computed properties:
DFT formation energy: -0.04 eV per formula unit
DOS at the Fermi energy: 0.228 states/eV/atom

=====

A relaxed Cu4HgAu5 crystal, computed with PBE-GGA.

Cell lengths 2.990, 2.990, 18.115 Å; angles 90.00, 90.00, 90.00 degrees
Space group P4/mmm (No. 123)
Asymmetric unit:
Cu: 0.000 0.000 0.093 [2 per cell]
Cu: 0.000 0.000 0.280 [2 per cell]
Hg: 0.000 0.000 0.500 [1 per cell]
Au: 0.500 0.500 0.000 [1 per cell]
Au: 0.500 0.500 0.187 [2 per cell]
Au: 0.500 0.500 0.373 [2 per cell]

Computed properties:
DFT formation energy: -0.11 eV per formula unit
DOS at the Fermi energy: 0.424 states/eV/atom

=====

A relaxed CuHg2Au crystal, computed with PBE-GGA.

Cell lengths 2.993, 4.528, 11.954 Å; angles 90.00, 90.00, 90.00 degrees
Space group Imm2 (No. 44)
Asymmetric unit:
Cu: 0.000 0.000 0.000 [2 per cell]
Hg: 0.000 0.000 0.491 [2 per cell]
Hg: 0.000 0.500 0.700 [2 per cell]
Au: 0.000 0.500 0.312 [2 per cell]

Computed properties:
DFT formation energy: 0.36 eV per formula unit
DOS at the Fermi energy: 0.272 states/eV/atom

=====

A relaxed Cu2HgAu crystal, computed with PBE-GGA.

Cell lengths 3.924, 3.924, 18.603 Å; angles 90.00, 90.00, 90.00 degrees
Space group I-42d (No. 122)
Asymmetric unit:
Cu: 0.226 0.250 0.125 [8 per cell]
Hg: 0.000 0.000 0.500 [4 per cell]
Au: 0.000 0.000 0.000 [4 per cell]

Computed properties:
DFT formation energy: 1.20 eV per formula unit
DOS at the Fermi energy: 0.300 states/eV/atom

=====

A relaxed CuHg3Au crystal, computed with PBE-GGA.

Cell lengths 5.060, 5.060, 5.060 Å; angles 90.00, 90.00, 90.00 degrees
Space group Pm-3m (No. 221)
Asymmetric unit:
Cu: 0.000 0.000 0.000 [1 per cell]
Hg: 0.000 0.000 0.500 [3 per cell]
Au: 0.500 0.500 0.500 [1 per cell]

Computed properties:
DFT formation energy: 1.72 eV per formula unit
DOS at the Fermi energy: 0.291 states/eV/atom

=====

A relaxed Cu4HgAu7 crystal, computed with PBE-GGA.

Cell lengths 10.802, 5.095, 9.342 Å; angles 90.00, 121.98, 90.00 degrees
Space group C2/m (No. 12)
Asymmetric unit:
Cu: 0.061 0.000 0.263 [4 per cell]
Cu: 0.220 0.000 0.818 [4 per cell]
Hg: 0.000 0.500 0.500 [2 per cell]
Au: 0.000 0.000 0.500 [2 per cell]
Au: 0.054 0.500 0.878 [4 per cell]
Au: 0.158 0.000 0.059 [4 per cell]
Au: 0.214 0.500 0.415 [4 per cell]

Computed properties:
DFT formation energy: 1.88 eV per formula unit
DOS at the Fermi energy: 0.253 states/eV/atom

=====

A relaxed CuHg2Au crystal, computed with PBE-GGA.

Cell lengths 3.046, 3.046, 8.376 Å; angles 90.00, 90.00, 90.00 degrees
Space group P4mm (No. 99)
Asymmetric unit:
Cu: 0.000 0.000 0.000 [1 per cell]
Hg: 0.000 0.000 0.534 [1 per cell]
Hg: 0.500 0.500 0.222 [1 per cell]
Au: 0.500 0.500 0.806 [1 per cell]

Computed properties:
DFT formation energy: 0.41 eV per formula unit
DOS at the Fermi energy: 0.247 states/eV/atom

=====

A relaxed CuHg2Au crystal, computed with PBE-GGA.

Cell lengths 4.115, 4.156, 4.403 Å; angles 90.00, 90.00, 90.00 degrees
Space group Pmmm (No. 47)
Asymmetric unit:
Cu: 0.000 0.000 0.000 [1 per cell]
Hg: 0.500 0.000 0.500 [1 per cell]
Hg: 0.500 0.500 0.000 [1 per cell]
Au: 0.000 0.500 0.500 [1 per cell]

Computed properties:
DFT formation energy: 0.73 eV per formula unit
DOS at the Fermi energy: 0.288 states/eV/atom

=====

A relaxed Cu2HgAu crystal, computed with PBE-GGA.

Cell lengths 2.9279, 2.9279, 26.8378 Å; angles 90.00, 90.00, 120.00 degrees
Space group R3m (No. 160, hexagonal axes)
Asymmetric unit:
Cu: 0.0000 0.0000 0.0000 [3 per cell]
Cu: 0.0000 0.0000 0.2650 [3 per cell]
Hg: 0.0000 0.0000 0.7529 [3 per cell]
Au: 0.0000 0.0000 0.5197 [3 per cell]

Computed properties:
DFT formation energy: 0.60 eV per formula unit
DOS at the Fermi energy: 0.260 states/eV/atom

=====

A relaxed CuHgAu5 crystal, computed with PBE-GGA.

Cell lengths 5.421, 9.501, 7.767 Å; angles 90.00, 90.00, 90.00 degrees
Space group Imm2 (No. 44)
Asymmetric unit:
Cu: 0.000 0.000 0.000 [2 per cell]
Hg: 0.000 0.500 0.904 [2 per cell]
Au: 0.000 0.250 0.708 [4 per cell]
Au: 0.000 0.500 0.540 [2 per cell]
Au: 0.246 0.500 0.220 [4 per cell]

Computed properties:
DFT formation energy: 3.03 eV per formula unit
DOS at the Fermi energy: 0.324 states/eV/atom

=====

A relaxed CuHgAu6 crystal, computed with PBE-GGA.

Cell lengths 4.787, 5.899, 10.206 Å; angles 90.00, 90.00, 90.00 degrees
Space group Amm2 (No. 38)
Asymmetric unit:
Cu: 0.000 0.000 0.000 [2 per cell]
Hg: 0.500 0.000 0.332 [2 per cell]
Au: 0.000 0.000 0.502 [2 per cell]
Au: 0.000 0.246 0.748 [4 per cell]
Au: 0.500 0.000 0.837 [2 per cell]
Au: 0.500 0.243 0.080 [4 per cell]

Computed properties:
DFT formation energy: 0.38 eV per formula unit
DOS at the Fermi energy: 0.442 states/eV/atom

=====

A relaxed Cu6HgAu5 crystal, computed with PBE-GGA.

Cell lengths 8.220, 12.464, 4.174 Å; angles 90.00, 120.39, 90.00 degrees
Space group C2/m (No. 12)
Asymmetric unit:
Cu: 0.244 0.000 0.243 [4 per cell]
Cu: 0.247 0.169 0.746 [8 per cell]
Hg: 0.000 0.500 0.000 [2 per cell]
Au: 0.000 0.000 0.500 [2 per cell]
Au: 0.000 0.167 0.000 [4 per cell]
Au: 0.000 0.334 0.500 [4 per cell]

Computed properties:
DFT formation energy: -0.06 eV per formula unit
DOS at the Fermi energy: 0.208 states/eV/atom

=====

A relaxed Cu2HgAu crystal, computed with PBE-GGA.

Cell lengths 2.9917, 2.9917, 25.6064 Å; angles 90.00, 90.00, 120.00 degrees
Space group R-3m (No. 166, hexagonal axes)
Asymmetric unit:
Cu: 0.0000 0.0000 0.2468 [6 per cell]
Hg: 0.0000 0.0000 0.0000 [3 per cell]
Au: 0.0000 0.0000 0.5000 [3 per cell]

Computed properties:
DFT formation energy: 0.63 eV per formula unit
DOS at the Fermi energy: 0.261 states/eV/atom

=====

A relaxed Cu2Hg2Au crystal, computed with PBE-GGA.

Cell lengths 7.529, 7.529, 3.167 Å; angles 90.00, 90.00, 90.00 degrees
Space group P4/mbm (No. 127)
Asymmetric unit:
Cu: 0.149 0.351 0.000 [4 per cell]
Hg: 0.149 0.649 0.500 [4 per cell]
Au: 0.000 0.000 0.500 [2 per cell]

Computed properties:
DFT formation energy: 1.12 eV per formula unit
DOS at the Fermi energy: 0.254 states/eV/atom

=====

A relaxed Cu2HgAu crystal, computed with PBE-GGA.

Cell lengths 3.002, 4.199, 5.276 Å; angles 90.00, 104.27, 90.00 degrees
Space group Pm (No. 6)
Asymmetric unit:
Cu: 0.000 0.000 0.000 [1 per cell]
Cu: 0.122 0.500 0.276 [1 per cell]
Hg: 0.710 0.000 0.469 [1 per cell]
Au: 0.417 0.500 0.825 [1 per cell]

Computed properties:
DFT formation energy: 0.36 eV per formula unit
DOS at the Fermi energy: 0.275 states/eV/atom

=====

A relaxed Cu4HgAu3 crystal, computed with PBE-GGA.

Cell lengths 9.065, 5.898, 4.646 Å; angles 90.00, 90.00, 90.00 degrees
Space group Pmma (No. 51)
Asymmetric unit:
Cu: 0.000 0.241 0.000 [4 per cell]
Cu: 0.250 0.240 0.393 [4 per cell]
Hg: 0.000 0.500 0.500 [2 per cell]
Au: 0.000 0.000 0.500 [2 per cell]
Au: 0.250 0.000 0.900 [2 per cell]
Au: 0.250 0.500 0.917 [2 per cell]

Computed properties:
DFT formation energy: 0.08 eV per formula unit
DOS at the Fermi energy: 0.316 states/eV/atom

=====

A relaxed CuHg2Au crystal, computed with PBE-GGA.

Cell lengths 6.152, 7.389, 3.342 Å; angles 90.00, 90.00, 90.00 degrees
Space group Cmmm (No. 65)
Asymmetric unit:
Cu: 0.000 0.000 0.000 [2 per cell]
Hg: 0.250 0.250 0.500 [4 per cell]
Au: 0.000 0.500 0.000 [2 per cell]

Computed properties:
DFT formation energy: 0.78 eV per formula unit
DOS at the Fermi energy: 0.193 states/eV/atom

=====

A relaxed Cu2HgAu2 crystal, computed with PBE-GGA.

Cell lengths 7.650, 7.650, 2.927 Å; angles 90.00, 90.00, 90.00 degrees
Space group P4/mbm (No. 127)
Asymmetric unit:
Cu: 0.161 0.339 0.000 [4 per cell]
Hg: 0.000 0.000 0.500 [2 per cell]
Au: 0.136 0.636 0.500 [4 per cell]

Computed properties:
DFT formation energy: 0.30 eV per formula unit
DOS at the Fermi energy: 0.364 states/eV/atom

=====

A relaxed CuHg2Au2 crystal, computed with PBE-GGA.

Cell lengths 3.814, 3.814, 14.729 Å; angles 90.00, 90.00, 90.00 degrees
Space group I4/mmm (No. 139)
Asymmetric unit:
Cu: 0.000 0.000 0.000 [2 per cell]
Hg: 0.000 0.000 0.405 [4 per cell]
Au: 0.000 0.500 0.250 [4 per cell]

Computed properties:
DFT formation energy: 1.28 eV per formula unit
DOS at the Fermi energy: 0.285 states/eV/atom